! PBE LaPmScPd, optimized geometry; values from VASP
&SYSTEM
  ibrav = 0, nat = 4, ntyp = 4
/
ATOMIC_SPECIES
Pd 106.42 Pd.upf
La 138.91 La.upf
Pm 145.00 Pm.upf
Sc 44.96 Sc.upf
CELL_PARAMETERS angstrom
-0.330 -4.437 2.911
4.427 -2.356 1.766
1.193 0.124 5.180
ATOMIC_POSITIONS crystal
Pd 0.500 0.500 0.500
La 0.750 0.750 0.750
Pm 0.250 0.250 0.250
Sc 0.000 0.000 0.000
! SG	F-43m, No. 216
! total energy	-21.67	eV per cell
! M_tot	0.00	μB/f.u.
! ΔE_f	-0.12	eV per atom
! density of states at the Fermi level	6.4	states/eV/f.u.